The following is a DFT calculation (PBE) of a relaxed structure of DyAg6Au.

Output
* calculated total energy: -25.7 eV for the cell shown
* ΔE_f: -0.859 eV per formula unit
* density: 11001 kg/m3

The structure in CIF format:
```
data_DyAg6Au
_cell_length_a 4.915
_cell_length_b 5.999
_cell_length_c 5.154
_cell_angle_alpha 90.00
_cell_angle_beta 90.00
_cell_angle_gamma 90.00
_space_group_name_H-M_alt 'P m m 2'
_space_group_IT_number 25
loop_
_space_group_symop_operation_xyz
'x,y,z'
'-x,-y,z'
'-x,y,z'
'x,-y,z'
loop_
_atom_site_label
_atom_site_type_symbol
_atom_site_fract_x
_atom_site_fract_y
_atom_site_fract_z
Dy1 Dy 0.000 0.000 0.000
Ag1 Ag 0.000 0.263 0.499
Ag2 Ag 0.000 0.500 0.997
Ag3 Ag 0.500 0.000 0.651
Ag4 Ag 0.500 0.259 0.177
Au1 Au 0.500 0.500 0.686
```